Below is a relaxed Hf2FeHPd crystal, with properties calculated at the PBE level.

Lattice parameters (Å, degrees): 4.5371 4.5371 3.3944 90.00 90.00 90.00
With the nearest neighbours (Å) after each atom.
Sites, in units of the cell vectors:
Pd  0.5000  0.5000  0.5000  8 Hf 2.83
Hf  0.0000  0.5000  0.0000  2 H 2.27
Hf  0.5000  0.0000  0.0000  2 H 2.27
H  0.0000  0.0000  0.0000  2 Fe 1.70
Fe  0.0000  0.0000  0.5000  2 H 1.70

Computed properties:
Spin magnetization ... 0.00 μB per formula unit
Calculated total energy ... -7.771 eV/atom
Theoretical density ... 12364 kg/m³

Below is a relaxed ZnCu2Rh crystal, with properties calculated at the PBE level.

Lattice parameters (Å, degrees): 2.6370 2.6370 8.4586 90.00 90.00 115.20
With the nearest neighbours (Å) after each atom.
Sites, in units of the cell vectors:
Cu  0.0000  0.0000  0.0024  6 Cu 2.48-2.64, 2 Zn 2.53
Zn  0.5000  0.5000  0.7539  2 Cu 2.53, 2 Rh 2.57, 6 Zn 2.64-2.83
Rh  0.0000  0.0000  0.5003  2 Zn 2.57, 2 Cu 2.59, 6 Rh 2.64-2.83
Cu  0.5000  0.5000  0.2434  6 Cu 2.48-2.64, 2 Rh 2.59

Computed properties:
Spin magnetization ... 0.00 μB per formula unit
Energy of formation ... -0.003 eV/atom
Theoretical density ... 9217 kg/m³

Below is a relaxed SmMgAl2 crystal, with properties calculated at the PBE level.

Lattice parameters (Å, degrees): 4.5743 4.5743 5.7907 66.74 66.74 60.00
With the nearest neighbours (Å) after each atom.
Sites, in units of the cell vectors:
Al  0.2843  0.2843  0.1470  3 Mg 2.75, 3 Al 3.04
Mg  0.0000  0.0000  0.0000  6 Al 2.75
Al  0.7157  0.7157  0.8530  3 Mg 2.75, 3 Al 3.04
Sm  0.5000  0.5000  0.5000  8 Al 3.21-3.33

Computed properties:
Relative energy among the computed polymorphs ... 119 meV/atom
Spin magnetization ... 0.00 μB per formula unit
Energy of formation ... -0.196 eV/atom
Theoretical density ... 4065 kg/m³

Below is a relaxed Sc2H3 crystal, with properties calculated at the PBE level.

Lattice parameters (Å, degrees): 5.2961 5.2961 5.2569 59.75 59.75 60.00
With the nearest neighbours (Å) after each atom.
Sites, in units of the cell vectors:
Sc  0.6328  0.6328  0.1017  6 H 2.05-2.08
H  0.4795  0.0205  0.7500  4 Sc 2.05-2.08
H  0.2500  0.5205  0.2500  4 Sc 2.05-2.08
Sc  0.8672  0.8672  0.3983  6 H 2.05-2.08
Sc  0.3672  0.3672  0.8983  6 H 2.05-2.08
H  0.5205  0.9795  0.2500  4 Sc 2.05-2.08
H  0.0205  0.7500  0.7500  4 Sc 2.05-2.08
H  0.7500  0.4795  0.7500  4 Sc 2.05-2.08
Sc  0.1328  0.1328  0.6017  6 H 2.05-2.08
H  0.9795  0.2500  0.2500  4 Sc 2.05-2.08

Computed properties:
Relative energy among the computed polymorphs ... 113 meV/atom
Spin magnetization ... 0.00 μB per formula unit
Theoretical density ... 2971 kg/m³

Below is a relaxed SrAcS2F crystal, with properties calculated at the PBE level.

Lattice parameters (Å, degrees): 4.2146 4.2146 14.7231 90.00 90.00 90.00
With the nearest neighbours (Å) after each atom.
Sites, in units of the cell vectors:
F  0.0000  0.0000  0.5000  4 Sr 2.52
Sr  0.0000  0.5000  0.4060  4 F 2.52
S  0.0000  0.5000  0.0915  5 Ac 3.04-3.28
Sr  0.5000  0.0000  0.5940  4 F 2.52
F  0.5000  0.5000  0.5000  4 Sr 2.52
S  0.5000  0.0000  0.9085  5 Ac 3.04-3.28
Ac  0.0000  0.5000  0.8691  1 S 2.71
S  0.5000  0.0000  0.3148  1 Ac 2.71
S  0.0000  0.5000  0.6852  1 Ac 2.71
Ac  0.5000  0.0000  0.1309  1 S 2.71

Computed properties:
Spin magnetization ... 0.00 μB per formula unit
Energy relative to the elements, uncorrected ... -2.587 eV/atom
Theoretical density ... 5051 kg/m³

Below is a relaxed Th2Ga3Pt4Rh crystal, with properties calculated at the PBE level.

Lattice parameters (Å, degrees): 4.0691 4.0691 11.6346 90.00 90.00 90.00
With the nearest neighbours (Å) after each atom.
Sites, in units of the cell vectors:
Ga  0.5000  0.0000  0.8722  5 Pt 2.48-2.52
Pt  0.5000  0.5000  0.0000  4 Ga 2.52
Ga  0.0000  0.0000  0.5000  4 Pt 2.75, 4 Rh 2.88
Pt  0.0000  0.0000  0.0000  4 Ga 2.52
Th  0.0000  0.5000  0.7358  4 Pt 3.01, 4 Ga 3.29
Rh  0.5000  0.5000  0.5000  4 Pt 2.75, 4 Ga 2.88
Pt  0.0000  0.5000  0.3410  3 Ga 2.48-2.75, 2 Rh 2.75
Th  0.5000  0.0000  0.2642  4 Pt 3.01, 4 Ga 3.29
Ga  0.0000  0.5000  0.1278  5 Pt 2.48-2.52
Pt  0.5000  0.0000  0.6590  3 Ga 2.48-2.75, 2 Rh 2.75

Computed properties:
Spin magnetization ... 0.00 μB per formula unit
Energy of formation ... -0.896 eV/atom
Theoretical density ... 13417 kg/m³